Here is a geometry-optimized BPbNF2 structure from Alexandria via LeMat-Bulk. Energies are from PBEsol.

POSCAR file:
```
BPbNF2
1.0
4.154 0.000 0.000
0.000 4.399 0.000
0.000 0.000 4.399
F B N Pb
2 1 1 1
direct
0.000 0.500 0.000
0.000 0.000 0.500
0.500 0.500 0.500
0.500 0.000 0.000
0.000 0.000 0.000
```

Properties
size of the total moment = 0.244 μB per formula unit
uncorrected formation energy = 2.8 eV per formula unit